No. 1
Density functional theory data (GGA-PBE) for DyThTeAs after structural relaxation.

Cell: 4.1807 4.1820 7.8827 Å, 90.00 105.37 120.01°
Closest atoms and distances in Å follow each position.
Sites, in units of the cell vectors:
Dy  0.4939  0.1449  0.6543  3 As 2.87, 3 Te 3.20
Th  0.1123  0.9541  0.0815  3 As 2.93, 3 Te 3.26
Te  0.9736  0.3848  0.3736  3 Dy 3.20, 3 Th 3.26
As  0.2980  0.5469  0.8604  3 Dy 2.87, 3 Th 2.93

- Total DFT energy (no corrections): -6.30 eV/atom

***

No. 2
Density functional theory data (GGA-PBE) for DyTh2Te2As2 after structural relaxation.

Cell: 5.2664 5.2664 8.7703 Å, 107.47 107.47 90.00°
Closest atoms and distances in Å follow each position.
Sites, in units of the cell vectors:
Dy  0.0000  0.0000  0.0000  4 As 2.63
Th  0.3907  0.3907  0.7814  4 As 3.15, 1 Te 3.18, 1 Th 3.47
Th  0.6093  0.6093  0.2186  4 As 3.15, 1 Te 3.18, 1 Th 3.47
Te  0.1906  0.1906  0.3813  1 Dy 3.03, 1 Th 3.18
Te  0.8094  0.8094  0.6187  1 Dy 3.03, 1 Th 3.18
As  0.0000  0.5000  0.0000  2 Dy 2.63
As  0.5000  0.0000  0.0000  2 Dy 2.63

- Total DFT energy (no corrections): -5.94 eV/atom

***

No. 3
Density functional theory data (GGA-PBE) for Dy4Tl2TeAs after structural relaxation.

Cell: 4.0667 7.1098 8.2286 Å, 106.36 90.00 90.00°
Closest atoms and distances in Å follow each position.
Sites, in units of the cell vectors:
Dy  0.5000  0.2250  0.2204  2 As 2.89, 1 Te 3.02, 1 Tl 3.15
Dy  0.5000  0.7750  0.7796  2 As 2.89, 1 Te 3.02, 1 Tl 3.15
Dy  0.0000  0.2393  0.7676  1 As 2.90, 2 Te 3.04, 2 Tl 3.13
Dy  0.0000  0.7607  0.2324  1 As 2.90, 2 Te 3.04, 2 Tl 3.13
Tl  0.5000  0.0000  0.5000  6 Dy 3.13-3.15
Tl  0.0000  0.5000  0.5000  6 Dy 3.25-3.27
Te  0.5000  0.5000  0.0000  6 Dy 3.02-3.04
As  0.0000  0.0000  0.0000  6 Dy 2.89-2.90

- Total DFT energy (no corrections): -4.72 eV/atom

***

No. 4
Density functional theory data (GGA-PBE) for Dy6TlTe3As2 after structural relaxation.

Cell: 4.2204 8.7262 9.6227 Å, 103.63 102.67 90.00°
Closest atoms and distances in Å follow each position.
Sites, in units of the cell vectors:
Dy  0.3342  0.8942  0.6685  2 As 2.91, 1 Tl 3.03, 3 Te 3.07-3.19
Dy  0.6744  0.5673  0.3487  3 As 2.87-2.90, 3 Te 3.16-3.18
Dy  0.6658  0.1058  0.3315  2 As 2.91, 1 Tl 3.03, 3 Te 3.07-3.19
Dy  0.0077  0.2502  0.0155  1 As 2.92, 2 Tl 3.01, 3 Te 3.06-3.17
Dy  0.9923  0.7498  0.9845  1 As 2.92, 2 Tl 3.01, 3 Te 3.06-3.17
Dy  0.3256  0.4327  0.6513  3 As 2.87-2.90, 3 Te 3.16-3.18
Tl  0.5000  0.0000  0.0000  6 Dy 3.01-3.03
Te  0.5000  0.5000  0.0000  6 Dy 3.06-3.18
Te  0.8341  0.1681  0.6681  6 Dy 3.07-3.19
Te  0.1659  0.8319  0.3319  6 Dy 3.07-3.19
As  0.8318  0.6628  0.6637  6 Dy 2.87-2.92
As  0.1682  0.3372  0.3363  6 Dy 2.87-2.92

- Total DFT energy (no corrections): -5.31 eV/atom

***

No. 5
Density functional theory data (GGA-PBE) for Dy3Tl4Te8As after structural relaxation.

Cell: 8.8431 9.6003 8.8432 Å, 117.44 120.00 90.00°
Closest atoms and distances in Å follow each position.
Sites, in units of the cell vectors:
Dy  0.5000  0.5000  0.0000  6 Te 3.09-3.10
Dy  0.5000  0.5000  0.5000  6 Te 3.09-3.10
Dy  0.0000  0.5000  0.5000  6 Te 3.09-3.10
Tl  0.5000  0.0000  0.0000  6 Te 3.57
Tl  0.5000  0.0000  0.5000  6 Te 3.45-3.46
Tl  0.0000  0.0000  0.0000  6 Te 3.45-3.46
Tl  0.0000  0.0000  0.5000  6 Te 3.45-3.46
Te  0.2290  0.7060  0.9771  1 As 2.97, 2 Dy 3.09-3.10
Te  0.2290  0.7060  0.4580  1 As 2.97, 2 Dy 3.10
Te  0.2616  0.2847  0.5231  3 Dy 3.09, 3 Tl 3.45
Te  0.7481  0.7060  0.9771  1 As 2.97, 2 Dy 3.09-3.10
Te  0.2519  0.2940  0.0229  1 As 2.97, 2 Dy 3.09-3.10
Te  0.7384  0.7153  0.4769  3 Dy 3.09, 3 Tl 3.45
Te  0.7710  0.2940  0.5420  1 As 2.97, 2 Dy 3.10
Te  0.7710  0.2940  0.0229  1 As 2.97, 2 Dy 3.09-3.10
As  0.0000  0.5000  0.0000  6 Te 2.97

- Total DFT energy (no corrections): -4.12 eV/atom

***

No. 6
Density functional theory data (GGA-PBE) for Dy4TlTe2As after structural relaxation.

Cell: 4.2256 7.5399 7.5343 Å, 71.44 90.00 90.00°
Closest atoms and distances in Å follow each position.
Sites, in units of the cell vectors:
Dy  0.0000  0.7368  0.7461  1 As 2.96, 2 Tl 3.02, 3 Te 3.08-3.16
Dy  0.0000  0.2632  0.2539  1 As 2.96, 2 Tl 3.02, 3 Te 3.08-3.16
Dy  0.5000  0.7241  0.2656  2 As 2.92, 1 Tl 3.00, 3 Te 3.13-3.19
Dy  0.5000  0.2759  0.7344  2 As 2.92, 1 Tl 3.00, 3 Te 3.13-3.19
Tl  0.5000  0.5000  0.0000  6 Dy 3.00-3.02
Te  0.0000  0.0000  0.0000  6 Dy 3.16-3.19
Te  0.5000  0.0000  0.5000  6 Dy 3.08-3.13
As  0.0000  0.5000  0.5000  6 Dy 2.92-2.96

- Total DFT energy (no corrections): -5.09 eV/atom

***

No. 7
Density functional theory data (GGA-PBE) for Dy8ZnTe4As3 after structural relaxation.

Cell: 8.4241 8.5568 8.4242 Å, 119.49 120.00 90.00°
Closest atoms and distances in Å follow each position.
Sites, in units of the cell vectors:
Dy  0.2400  0.7228  0.9828  1 Zn 2.88, 2 As 2.90, 3 Te 3.11-3.13
Dy  0.2400  0.7227  0.4800  1 Zn 2.88, 2 As 2.90, 3 Te 3.11-3.13
Dy  0.2609  0.2826  0.5217  3 As 2.87, 3 Te 3.14
Dy  0.7428  0.7228  0.9828  1 Zn 2.88, 2 As 2.90, 3 Te 3.11-3.13
Dy  0.2572  0.2772  0.0172  1 Zn 2.88, 2 As 2.90, 3 Te 3.11-3.13
Dy  0.7391  0.7174  0.4783  3 As 2.87, 3 Te 3.14
Dy  0.7600  0.2773  0.5200  1 Zn 2.88, 2 As 2.90, 3 Te 3.11-3.13
Dy  0.7600  0.2772  0.0172  1 Zn 2.88, 2 As 2.90, 3 Te 3.11-3.13
Zn  0.0000  0.5000  0.0000  6 Dy 2.88
Te  0.5000  0.0000  0.0000  6 Dy 3.13
Te  0.5000  0.0000  0.5000  6 Dy 3.11-3.14
Te  0.0000  0.0000  0.0000  6 Dy 3.11-3.14
Te  0.0000  0.0000  0.5000  6 Dy 3.11-3.14
As  0.5000  0.5000  0.0000  6 Dy 2.87-2.90
As  0.5000  0.5000  0.5000  6 Dy 2.87-2.90
As  0.0000  0.5000  0.5000  6 Dy 2.87-2.90

- Total DFT energy (no corrections): -5.34 eV/atom

***

No. 8
Density functional theory data (GGA-PBE) for Dy2ThAs after structural relaxation.

Cell: 3.8237 3.8237 9.4995 Å, 78.39 78.39 60.00°
Closest atoms and distances in Å follow each position.
Sites, in units of the cell vectors:
As  0.0000  0.0000  0.0000  6 Dy 2.82
Th  0.5000  0.5000  0.5000  6 Dy 3.61, 6 Th 3.82
Dy  0.2699  0.2699  0.1902  3 As 2.82
Dy  0.7301  0.7301  0.8098  3 As 2.82

- Total DFT energy (no corrections): -5.90 eV/atom

***

No. 9
Density functional theory data (GGA-PBE) for Dy5ThAs6 after structural relaxation.

Cell: 7.1769 7.1769 7.1795 Å, 99.62 99.62 119.95°
Closest atoms and distances in Å follow each position.
Sites, in units of the cell vectors:
As  0.4207  0.0842  0.2528  5 Dy 2.91-2.93, 1 Th 2.96
As  0.9158  0.5793  0.7472  5 Dy 2.91-2.93, 1 Th 2.96
As  0.2527  0.2527  0.7487  5 Dy 2.91-2.93, 1 Th 2.96
As  0.7473  0.7473  0.2513  5 Dy 2.91-2.93, 1 Th 2.96
As  0.0842  0.4207  0.2528  5 Dy 2.91-2.93, 1 Th 2.96
As  0.5793  0.9158  0.7472  5 Dy 2.91-2.93, 1 Th 2.96
Th  0.0000  0.0000  0.0000  6 As 2.96
Dy  0.8340  0.1660  0.5000  6 As 2.91-2.93
Dy  0.6667  0.3333  0.0000  6 As 2.93
Dy  0.5000  0.5000  0.5000  6 As 2.91-2.93
Dy  0.3333  0.6667  0.0000  6 As 2.93
Dy  0.1660  0.8340  0.5000  6 As 2.91-2.93

- Total DFT energy (no corrections): -6.39 eV/atom

***

No. 10
Density functional theory data (GGA-PBE) for DyTh4As6 after structural relaxation.

Cell: 8.2852 8.2852 8.2852 Å, 90.26 90.26 89.74°
Closest atoms and distances in Å follow each position.
Sites, in units of the cell vectors:
Dy  0.5000  0.5000  0.5000  6 As 2.81
Dy  0.0000  0.0000  0.0000  6 As 2.81
Th  0.3660  0.1340  0.2500  8 As 2.99-3.23
Th  0.8660  0.2500  0.3660  8 As 2.99-3.23
Th  0.2500  0.6340  0.1340  8 As 2.99-3.23
Th  0.2500  0.2500  0.7500  6 As 3.01
Th  0.7500  0.7500  0.2500  6 As 3.01
Th  0.7500  0.3660  0.8660  8 As 2.99-3.23
Th  0.1340  0.7500  0.6340  8 As 2.99-3.23
Th  0.6340  0.8660  0.7500  8 As 2.99-3.23
As  0.6778  0.0638  0.0834  1 Dy 2.81, 2 Th 2.99-3.01
As  0.0834  0.3222  0.0638  1 Dy 2.81, 2 Th 2.99-3.01
As  0.5834  0.4362  0.1778  1 Dy 2.81, 2 Th 2.99-3.01
As  0.9362  0.0834  0.6778  1 Dy 2.81, 2 Th 2.99-3.01
As  0.5638  0.1778  0.5834  1 Dy 2.81, 2 Th 2.99-3.01
As  0.1778  0.4166  0.4362  1 Dy 2.81, 2 Th 2.99-3.01
As  0.8222  0.5834  0.5638  1 Dy 2.81, 2 Th 2.99-3.01
As  0.4362  0.8222  0.4166  1 Dy 2.81, 2 Th 2.99-3.01
As  0.0638  0.9166  0.3222  1 Dy 2.81, 2 Th 2.99-3.01
As  0.4166  0.5638  0.8222  1 Dy 2.81, 2 Th 2.99-3.01
As  0.9166  0.6778  0.9362  1 Dy 2.81, 2 Th 2.99-3.01
As  0.3222  0.9362  0.9166  1 Dy 2.81, 2 Th 2.99-3.01

- Total DFT energy (no corrections): -6.87 eV/atom

***

No. 11
Density functional theory data (GGA-PBE) for Dy5Th3As8 after structural relaxation.

Cell: 8.3559 8.3559 8.3337 Å, 59.91 59.91 60.00°
Closest atoms and distances in Å follow each position.
Sites, in units of the cell vectors:
Dy  0.5000  0.0000  0.0000  6 As 2.92
Dy  0.5000  0.5000  0.0000  6 As 2.92
Dy  0.0000  0.0000  0.0000  6 As 2.95
Dy  0.0000  0.5000  0.0000  6 As 2.92
Dy  0.5000  0.5000  0.5000  6 As 2.95
Th  0.5000  0.0000  0.5000  6 As 2.98
Th  0.0000  0.0000  0.5000  6 As 2.98
Th  0.0000  0.5000  0.5000  6 As 2.98
As  0.2500  0.2500  0.7548  4 Dy 2.92-2.95, 2 Th 2.98
As  0.2500  0.7452  0.7548  4 Dy 2.92-2.95, 2 Th 2.98
As  0.7452  0.2500  0.7548  4 Dy 2.92-2.95, 2 Th 2.98
As  0.7471  0.7471  0.7586  3 Dy 2.92, 3 Th 2.98
As  0.7500  0.7500  0.2452  4 Dy 2.92-2.95, 2 Th 2.98
As  0.7500  0.2548  0.2452  4 Dy 2.92-2.95, 2 Th 2.98
As  0.2548  0.7500  0.2452  4 Dy 2.92-2.95, 2 Th 2.98
As  0.2529  0.2529  0.2414  3 Dy 2.92, 3 Th 2.98

- Total DFT energy (no corrections): -6.65 eV/atom

***

No. 12
Density functional theory data (GGA-PBE) for DyThAs2 after structural relaxation.

Cell: 5.9382 5.9382 7.2531 Å, 114.16 114.16 90.00°
Closest atoms and distances in Å follow each position.
Sites, in units of the cell vectors:
Dy  0.5000  0.5000  0.0000  6 As 2.93-2.97
Dy  0.2500  0.7500  0.5000  6 As 2.93-2.97
Th  0.7500  0.2500  0.5000  6 As 2.97-2.99
Th  0.0000  0.0000  0.0000  6 As 2.97-2.99
As  0.7474  0.7474  0.4948  3 Dy 2.93-2.97, 3 Th 2.97-2.99
As  0.4974  0.9974  0.9948  3 Dy 2.93-2.97, 3 Th 2.97-2.99
As  0.2526  0.2526  0.5052  3 Dy 2.93-2.97, 3 Th 2.97-2.99
As  0.0026  0.5026  0.0052  3 Dy 2.93-2.97, 3 Th 2.97-2.99

- Excess energy over the best structure of this formula in the dataset: 0.000 eV/atom

***

| no. | M_tot (μB per atom) |
| --- | --- |
| 1 | 0.000 |
| 2 | 0.134 |
| 3 | 0.000 |
| 4 | 0.000 |
| 5 | 0.000 |
| 6 | 0.000 |
| 7 | 0.000 |
| 8 | 0.000 |
| 9 | 0.000 |
| 10 | 0.000 |
| 11 | 0.000 |
| 12 | 0.000 |